CeNdDy2Tm (PBE-GGA, relaxed); VASP energy = -45.924 eV for the cell shown; energy relative to the elements = 1.42 eV per formula unit; SG = Pmma; D(E_F) = 19.44 states/eV/cell
1.0
7.196 0.000 0.000
0.000 7.619 1.409
0.000 -1.067 5.766
Ce Nd Dy Tm
2 2 4 2
Cartesian
0.000 0.000 0.000 Ce
0.000 -0.534 2.883 Ce
1.177 3.009 5.029 Nd
6.019 3.543 2.146 Nd
4.878 4.609 5.325 Dy
4.878 1.409 4.733 Dy
2.319 5.143 2.442 Dy
2.319 1.942 1.850 Dy
4.410 -0.267 1.442 Tm
2.786 -0.800 4.325 Tm